one.
# YHg2Te2

A geometry-optimized YHg2Te2 structure (PBE, Alexandria via LeMat-Bulk).

Cell: 7.9393 7.9393 4.7848 Å, 90.00 90.00 90.00°
With the nearest neighbours (Å) after each atom.
Sites, in units of the cell vectors:
1 Y 0.0000 0.0000 0.0000  4 Te 3.04
2 Y 0.5000 0.5000 0.0000  4 Te 3.04
3 Hg 0.1724 0.3276 0.5000  6 Te 3.13-3.49
4 Hg 0.3276 0.8276 0.5000  6 Te 3.13-3.49
5 Hg 0.6724 0.1724 0.5000  6 Te 3.13-3.49
6 Hg 0.8276 0.6724 0.5000  6 Te 3.13-3.49
7 Te 0.1472 0.6472 0.0000  2 Y 3.04, 2 Hg 3.13, 1 Te 3.30
8 Te 0.3528 0.1472 0.0000  2 Y 3.04, 2 Hg 3.13, 1 Te 3.30
9 Te 0.6472 0.8528 0.0000  2 Y 3.04, 2 Hg 3.13, 1 Te 3.30
10 Te 0.8528 0.3528 0.0000  2 Y 3.04, 2 Hg 3.13, 1 Te 3.30

Properties
The calculation puts the density of states at the Fermi level at 0.66 states/eV per atom.

=====

two.
# YHg2Te2

A geometry-optimized YHg2Te2 structure (PBE, Alexandria via LeMat-Bulk).

Cell: 9.9499 9.9499 9.9499 Å, 156.54 156.54 33.42°
With the nearest neighbours (Å) after each atom.
Sites, in units of the cell vectors:
1 Y 0.0000 0.0000 0.0000  8 Te 3.29
2 Hg 0.2500 0.7500 0.5000  4 Hg 2.86
3 Hg 0.7500 0.2500 0.5000  4 Hg 2.86
4 Te 0.4148 0.4148 0.0000  1 Te 3.25, 4 Y 3.29
5 Te 0.5852 0.5852 0.0000  1 Te 3.25, 4 Y 3.29

Properties
The calculation puts the density of states at the Fermi level at 0.86 states/eV per atom.

=====

three.
# YHg2Te2

A geometry-optimized YHg2Te2 structure (PBE, Alexandria via LeMat-Bulk).

Cell: 9.0992 9.0992 9.0992 Å, 152.96 152.96 38.61°
With the nearest neighbours (Å) after each atom.
Sites, in units of the cell vectors:
1 Y 0.0000 0.0000 0.0000  8 Hg 3.37
2 Hg 0.4109 0.4109 0.0000  1 Hg 3.06, 4 Y 3.37
3 Hg 0.5891 0.5891 0.0000  1 Hg 3.06, 4 Y 3.37
4 Te 0.2500 0.7500 0.5000  4 Te 3.01
5 Te 0.7500 0.2500 0.5000  4 Te 3.01

Properties
The calculation puts the density of states at the Fermi level at 0.79 states/eV per atom.

=====

The most stable of them is two.

=====

one.
# Y2HgTe

A geometry-optimized Y2HgTe structure (PBE, Alexandria via LeMat-Bulk).

Cell: 12.0985 12.0985 4.4820 Å, 90.00 90.00 159.89°
With the nearest neighbours (Å) after each atom.
Sites, in units of the cell vectors:
1 Y 0.0644 0.9356 0.7500  1 Te 3.09, 6 Hg 3.12-3.34
2 Y 0.3265 0.6735 0.7500  1 Hg 3.08, 5 Te 3.12-3.16
3 Y 0.6735 0.3265 0.2500  1 Hg 3.08, 5 Te 3.12-3.16
4 Y 0.9356 0.0644 0.2500  1 Te 3.09, 6 Hg 3.12-3.34
5 Hg 0.4559 0.5441 0.7500  2 Hg 3.07, 7 Y 3.08-3.34
6 Hg 0.5441 0.4559 0.2500  2 Hg 3.07, 7 Y 3.08-3.34
7 Te 0.1940 0.8060 0.7500  6 Y 3.09-3.16
8 Te 0.8060 0.1940 0.2500  6 Y 3.09-3.16

Properties
The calculation puts the density of states at the Fermi level at 0.67 states/eV per atom.

=====

two.
# Y2HgTe

A geometry-optimized Y2HgTe structure (PBE, Alexandria via LeMat-Bulk).

Cell: 4.1544 4.1544 8.1494 Å, 104.72 104.72 59.86°
With the nearest neighbours (Å) after each atom.
Sites, in units of the cell vectors:
1 Y 0.2497 0.2497 0.2484  3 Hg 3.08, 3 Te 3.10
2 Y 0.7503 0.7503 0.7516  3 Hg 3.08, 3 Te 3.10
3 Hg 0.5000 0.5000 0.0000  6 Y 3.08
4 Te 0.0000 0.0000 0.5000  6 Y 3.10

Properties
The calculation puts the density of states at the Fermi level at 0.51 states/eV per atom.

=====

The most stable of them is one.

=====

one.
# Y2HgTe

A geometry-optimized Y2HgTe structure (PBE, Alexandria via LeMat-Bulk).

Cell: 5.5091 5.5091 5.5091 Å, 125.75 125.75 80.30°
With the nearest neighbours (Å) after each atom.
Sites, in units of the cell vectors:
1 Y 0.2500 0.7500 0.5000  4 Hg 3.28, 4 Te 3.28, 4 Y 3.55
2 Y 0.7500 0.2500 0.5000  4 Hg 3.28, 4 Te 3.28, 4 Y 3.55
3 Hg 0.0000 0.0000 0.0000  8 Y 3.28, 4 Te 3.55
4 Te 0.5000 0.5000 0.0000  8 Y 3.28, 4 Hg 3.55

Properties
The calculation puts the density of states at the Fermi level at 1.15 states/eV per atom.

=====

two.
# Y2HgTe

A geometry-optimized Y2HgTe structure (PBE, Alexandria via LeMat-Bulk).

Cell: 5.4207 5.4207 5.4207 Å, 60.00 60.00 60.00°
With the nearest neighbours (Å) after each atom.
Sites, in units of the cell vectors:
1 Y 0.0000 0.0000 0.0000  4 Te 3.32, 4 Y 3.32
2 Y 0.2500 0.2500 0.2500  4 Hg 3.32, 4 Y 3.32
3 Hg 0.5000 0.5000 0.5000  4 Te 3.32, 4 Y 3.32
4 Te 0.7500 0.7500 0.7500  4 Hg 3.32, 4 Y 3.32

Properties
The calculation puts the density of states at the Fermi level at 1.32 states/eV per atom.

=====

three.
# Y2HgTe

A geometry-optimized Y2HgTe structure (PBE, Alexandria via LeMat-Bulk).

Cell: 6.2028 6.2028 4.7281 Å, 90.08 90.08 37.65°
With the nearest neighbours (Å) after each atom.
Sites, in units of the cell vectors:
1 Y 0.0000 0.0000 0.0000  1 Hg 2.97, 4 Te 3.12
2 Y 0.7393 0.7393 0.5004  4 Hg 3.10, 3 Te 3.17-3.36
3 Hg 0.2532 0.2532 0.0004  5 Y 2.97-3.10
4 Te 0.4695 0.4695 0.4999  7 Y 3.12-3.36, 2 Hg 3.47

Properties
The calculation puts the density of states at the Fermi level at 0.57 states/eV per atom.

=====

The most stable of them is three.

=====

one.
# YHg3Te

A geometry-optimized YHg3Te structure (PBE, Alexandria via LeMat-Bulk).

Cell: 5.8118 5.8118 5.8118 Å, 90.00 90.00 90.00°
With the nearest neighbours (Å) after each atom.
Sites, in units of the cell vectors:
1 Y 0.0000 0.0000 0.0000  6 Hg 2.91
2 Hg 0.0000 0.0000 0.5000  2 Y 2.91
3 Hg 0.0000 0.5000 0.0000  2 Y 2.91
4 Hg 0.5000 0.0000 0.0000  2 Y 2.91
5 Te 0.5000 0.5000 0.5000  12 Hg 4.11

Properties
The calculation puts the density of states at the Fermi level at 0.72 states/eV per atom.

=====

two.
# YHg3Te

A geometry-optimized YHg3Te structure (PBE, Alexandria via LeMat-Bulk).

Cell: 5.5968 5.5968 5.5968 Å, 90.00 90.00 90.00°
With the nearest neighbours (Å) after each atom.
Sites, in units of the cell vectors:
1 Y 0.0000 0.0000 0.0000  12 Hg 3.96
2 Hg 0.0000 0.5000 0.5000  2 Te 2.80
3 Hg 0.5000 0.0000 0.5000  2 Te 2.80
4 Hg 0.5000 0.5000 0.0000  2 Te 2.80
5 Te 0.5000 0.5000 0.5000  6 Hg 2.80

Properties
The calculation puts the density of states at the Fermi level at 0.92 states/eV per atom.

=====

The most stable of them is one.